Entry 1:
This record from the Alexandria database describes a relaxed LaCe3H3 crystal. The functional is PBE.

Cell: 6.470 6.470 6.470 Å, 90.00 90.00 90.00°
Atoms (fractional coordinates):
La  0.000  0.000  0.000
La  0.500  0.500  0.500
Ce  0.000  0.250  0.500
Ce  0.000  0.750  0.500
Ce  0.250  0.500  0.000
Ce  0.500  0.000  0.250
Ce  0.500  0.000  0.750
Ce  0.750  0.500  0.000
H  0.000  0.500  0.250
H  0.000  0.500  0.750
H  0.250  0.000  0.500
H  0.500  0.250  0.000
H  0.500  0.750  0.000
H  0.750  0.000  0.500

Calculated values
Space-group type: No. 223

Entry 2:
This record from the Alexandria database describes a relaxed LaCeH2 crystal. The functional is PBE.

Cell: 6.318 6.318 6.318 Å, 33.36 33.36 33.36°
Atoms (fractional coordinates):
La  0.000  0.000  0.000
Ce  0.500  0.500  0.500
H  0.246  0.246  0.246
H  0.754  0.754  0.754

Calculated values
Energy above the lowest structure with this stoichiometry, eV/atom: 0.000
Space-group type: No. 166

Number 1: uncorrected energy -4.8264 eV per atom. Number 2: uncorrected energy -4.7743 eV per atom.